Entry 1:
# ReRh3O

ReRh3O after structural relaxation (GGA-PBE, Alexandria).

Properties
* crystal system: cubic
* size of the total moment: 1.97 Bohr magnetons per cell
* uncorrected formation energy: 1.74 eV per atom
* E: -6.156 eV per atom
* density: 8.1 g cm⁻³

The structure in POSCAR format:
```
ReRh3O
1.0
4.7042 0.0000 0.0000
0.0000 4.7042 0.0000
0.0000 0.0000 4.7042
Re Rh O
1 3 1
Direct
0.0000 0.0000 0.0000
0.0000 0.5000 0.0000
0.0000 0.0000 0.5000
0.5000 0.0000 0.0000
0.5000 0.5000 0.5000
```

---

Entry 2:
# ReRhO2

ReRhO2 after structural relaxation (GGA-PBE, Alexandria).

Properties
* crystal system: trigonal
* size of the total moment: 0.00 Bohr magnetons per cell
* uncorrected formation energy: -0.68 eV per atom
* E: -8.112 eV per atom
* density: 12.1 g cm⁻³

The structure in POSCAR format:
```
ReRhO2
1.0
1.5789 0.0000 6.8290
-0.7895 1.3674 6.8290
-0.7895 -1.3674 6.8290
Re Rh O
1 1 2
Direct
0.5000 0.5000 0.5000
0.0000 0.0000 0.0000
0.9007 0.9007 0.9007
0.0993 0.0993 0.0993
```

---

Entry 3:
# ReRhO2

ReRhO2 after structural relaxation (GGA-PBE, Alexandria).

Properties
* crystal system: tetragonal
* size of the total moment: 0.00 Bohr magnetons per cell
* uncorrected formation energy: -0.30 eV per atom
* E: -7.725 eV per atom
* density: 11.3 g cm⁻³

The structure in POSCAR format:
```
ReRhO2
1.0
3.8492 0.0000 0.0000
0.0000 3.8492 0.0000
1.9246 1.9246 6.3801
Re Rh O
2 2 4
Direct
0.0000 0.0000 0.0000
0.7500 0.2500 0.5000
0.5000 0.5000 0.0000
0.2500 0.7500 0.5000
0.6656 0.1250 0.2500
0.0844 0.6250 0.2500
0.3750 0.3344 0.7500
0.8750 0.9156 0.7500
```